4
Lattice="3.084 0.000 0.000 0.000 3.084 0.000 0.000 0.000 6.172" Properties=species:S:1:pos:R:3 comment="Zn2CrAg (GGA-PBEsol, optimized geometry)" formation_energy_ev_per_atom=0.2555 sg=P4mm total_energy_ev_per_atom=-3.9238 pbc="T T T"
Zn 0.000 0.000 0.000
Zn 1.542 1.542 1.471
Cr 1.542 1.542 4.741
Ag 0.000 0.000 3.037



14
Lattice="4.095 0.000 0.000 0.000 4.095 0.000 0.000 0.000 13.486" Properties=species:S:1:pos:R:3 comment="Tl2CuF4 (GGA-PBEsol, optimized geometry)" raw_formation_energy_mev_per_atom=-1645 sg=I4/mmm total_energy_ev_per_atom=-4.1166 pbc="T T T"
Tl 0.000 0.000 1.978
Tl 0.000 0.000 11.508
Tl 2.047 2.047 4.765
Tl 2.047 2.047 8.721
Cu 0.000 0.000 6.743
Cu 2.047 2.047 0.000
F 0.000 0.000 4.800
F 0.000 0.000 8.686
F 0.000 2.047 0.000
F 0.000 2.047 6.743
F 2.047 0.000 0.000
F 2.047 0.000 6.743
F 2.047 2.047 1.943
F 2.047 2.047 11.544



8
Lattice="3.220 0.000 0.000 0.000 5.004 0.000 0.000 0.000 9.545" Properties=species:S:1:pos:R:3 comment="YTa2Cl (GGA-PBEsol, optimized geometry)" raw_formation_energy_mev_per_atom=384 sg=Cmmm total_energy_ev_per_atom=-8.0986 polymorph_energy_mev_per_atom=468 pbc="T T T"
Y 0.000 0.000 0.000
Y 1.610 2.502 0.000
Ta 0.000 2.502 2.649
Ta 0.000 2.502 6.896
Ta 1.610 0.000 2.649
Ta 1.610 0.000 6.896
Cl 0.000 0.000 4.773
Cl 1.610 2.502 4.773



5
Lattice="5.766 0.000 0.000 0.000 5.766 0.000 0.000 0.000 5.766" Properties=species:S:1:pos:R:3 comment="Sr3GeAs (GGA-PBEsol, optimized geometry)" formation_energy_ev_per_atom=-0.2748 sg=Pm-3m total_energy_ev_per_atom=-3.3881 pbc="T T T"
Sr 0.000 0.000 2.883
Sr 0.000 2.883 0.000
Sr 2.883 0.000 0.000
Ge 0.000 0.000 0.000
As 2.883 2.883 2.883



68
Lattice="11.566 0.000 0.000 0.000 11.736 0.000 0.000 0.000 6.513" Properties=species:S:1:pos:R:3 comment="B5Pb2IO9 (GGA-PBEsol, optimized geometry)" raw_formation_energy_mev_per_atom=-2118 sg=Pnn2 total_energy_ev_per_atom=-7.5355 pbc="T T T"
B 0.088 2.896 0.000
B 2.069 3.168 5.038
B 2.346 2.097 0.820
B 2.493 9.249 6.127
B 2.716 11.220 1.045
B 3.067 5.353 4.301
B 3.290 3.381 2.871
B 3.436 7.965 4.076
B 3.714 9.036 1.782
B 5.694 8.763 3.256
B 5.871 2.972 3.256
B 7.852 2.700 1.782
B 8.129 3.770 4.076
B 8.275 8.355 2.871
B 8.498 6.383 4.301
B 8.850 0.515 1.045
B 9.073 2.487 6.127
B 9.219 9.638 0.820
B 9.497 8.568 5.038
B 11.477 8.840 0.000
Pb 0.591 8.934 3.103
Pb 2.695 6.298 0.832
Pb 3.088 0.430 4.089
Pb 5.192 3.066 6.359
Pb 6.374 8.670 6.359
Pb 8.477 11.306 4.089
Pb 8.871 5.438 0.832
Pb 10.975 2.802 3.103
I 0.000 0.000 4.386
I 0.000 5.868 2.638
I 5.783 0.000 5.894
I 5.783 5.868 1.130
O 0.612 3.288 5.305
O 0.901 2.414 0.996
O 1.252 8.690 0.276
O 2.183 2.781 3.633
O 2.483 10.738 6.294
O 2.573 8.969 4.715
O 2.617 0.788 1.434
O 2.668 2.113 5.887
O 2.729 4.464 5.316
O 3.054 10.332 2.060
O 3.115 7.981 2.630
O 3.166 6.656 4.690
O 3.210 3.101 1.458
O 3.300 4.870 3.038
O 3.600 8.649 0.376
O 4.531 2.823 3.532
O 4.882 8.282 4.253
O 5.171 9.156 2.049
O 6.395 2.579 2.049
O 6.684 3.454 4.253
O 7.035 8.913 3.532
O 7.965 3.087 0.376
O 8.266 6.866 3.038
O 8.356 8.635 1.458
O 8.399 5.080 4.690
O 8.451 3.755 2.630
O 8.512 1.404 2.060
O 8.837 7.272 5.316
O 8.898 9.623 5.887
O 8.949 10.948 1.434
O 8.993 2.767 4.715
O 9.083 0.998 6.294
O 9.383 8.955 3.633
O 10.314 3.045 0.276
O 10.665 9.322 0.996
O 10.954 8.447 5.305



4
Lattice="3.546 0.000 0.000 0.000 5.107 0.000 0.000 0.000 5.462" Properties=species:S:1:pos:R:3 comment="YHg2Cl (GGA-PBEsol, optimized geometry)" raw_formation_energy_mev_per_atom=-612 sg=Pmmm total_energy_ev_per_atom=-3.1025 polymorph_energy_mev_per_atom=4 pbc="T T T"
Y 0.000 0.000 0.000
Hg 1.773 2.553 1.363
Hg 1.773 2.553 4.099
Cl 0.000 0.000 2.731